# 1
10
Lattice="8.169 0.000 0.000 0.000 8.169 0.000 0.000 0.000 4.968" Properties=species:S:1:pos:R:3 comment="La2Tl2Br PBE optimized geometry" e_form_raw_mev_per_atom=-705.3 dos_ef_per_ev_atom=0.798 space_group="P4/mbm (127)" pbc="T T T"
La 1.341 2.743 0.000
La 2.743 6.828 0.000
La 5.426 1.341 0.000
La 6.828 5.426 0.000
Tl 1.125 5.209 2.484
Tl 2.960 1.125 2.484
Tl 5.209 7.045 2.484
Tl 7.045 2.960 2.484
Br 0.000 0.000 0.000
Br 4.085 4.085 0.000

# 2
16
Lattice="6.217 -3.481 0.000 6.217 3.481 0.000 -3.940 0.000 6.298" Properties=species:S:1:pos:R:3 comment="K4Pm3PdO8 PBE optimized geometry" e_form_raw_mev_per_atom=-2126.1 dos_ef_per_ev_atom=0.024 space_group="C2/m (12)" pbc="T T T"
K 0.000 0.000 0.000
K 3.109 1.740 0.000
K 3.109 -1.740 0.000
K 6.217 0.000 0.000
Pm -1.970 0.000 3.149
Pm 1.138 1.740 3.149
Pm 1.138 -1.740 3.149
Pd 4.247 0.000 3.149
O 0.079 0.000 4.347
O 1.898 0.000 1.759
O 3.291 1.590 4.273
O 5.203 1.590 2.025
O 3.291 -1.590 4.273
O 5.203 -1.590 2.025
O 6.596 0.000 4.540
O 8.415 0.000 1.951

# 3
20
Lattice="3.995 2.306 14.010 -3.995 2.306 14.010 0.000 -4.613 14.010" Properties=species:S:1:pos:R:3 comment="K2Tl6InPb PBE optimized geometry" e_form_kj_per_mol_atoms=3 dos_ef_per_ev_atom=0.570 space_group="R-3m (166)" pbc="T T T"
K 0.000 0.000 4.301
K 0.000 0.000 11.729
K 0.000 0.000 30.301
K 0.000 0.000 37.730
Tl -2.360 -1.363 19.667
Tl 0.000 -1.874 15.159
Tl -1.623 0.937 15.159
Tl 0.000 -2.725 22.363
Tl -2.360 1.363 22.363
Tl -1.623 -0.937 26.872
Tl 1.623 0.937 15.159
Tl 2.360 -1.363 19.667
Tl 0.000 2.725 19.667
Tl 1.623 -0.937 26.872
Tl 0.000 1.874 26.872
Tl 2.360 1.363 22.363
In 0.000 0.000 0.000
In 0.000 0.000 21.015
Pb 0.000 0.000 17.827
Pb 0.000 0.000 24.203

# 4
18
Lattice="7.848 -7.290 0.000 7.848 7.290 0.000 -2.998 0.000 7.732" Properties=species:S:1:pos:R:3 comment="AcAg2I6 PBE optimized geometry" e_form_raw_mev_per_atom=-696.8 dos_ef_per_ev_atom=0.569 space_group="C2/c (15)" pbc="T T T"
Ac 5.600 5.769 5.799
Ac 7.099 -5.769 1.933
Ag 2.569 1.300 5.936
Ag 4.068 -1.300 2.070
Ag 8.630 1.300 5.661
Ag 10.129 -1.300 1.796
I -0.250 1.180 5.197
I 2.900 4.133 6.164
I 1.249 -1.180 1.331
I 4.574 0.292 4.296
I 8.300 4.133 5.434
I 6.073 -0.292 0.431
I 6.626 0.292 7.301
I 4.399 -4.133 2.298
I 8.125 -0.292 3.435
I 11.449 1.180 6.400
I 9.799 -4.133 1.568
I 12.948 -1.180 2.535

# 5
12
Lattice="4.185 0.000 0.000 0.000 5.909 0.000 0.000 0.000 12.537" Properties=species:S:1:pos:R:3 comment="PmPr2P3 PBE optimized geometry" e_form_kj_per_mol_atoms=-148 dos_ef_per_ev_atom=0.123 space_group="Immm (71)" pbc="T T T"
Pm 0.000 0.000 0.000
Pm 2.093 2.954 6.268
Pr 0.000 0.000 4.177
Pr 0.000 0.000 8.360
Pr 2.093 2.954 2.092
Pr 2.093 2.954 10.445
P 0.000 2.954 0.000
P 0.000 2.954 4.207
P 0.000 2.954 8.330
P 2.093 0.000 2.061
P 2.093 0.000 6.268
P 2.093 0.000 10.476

# 6
10
Lattice="6.169 0.000 0.000 0.000 5.626 0.000 -2.488 0.000 11.492" Properties=species:S:1:pos:R:3 comment="TlGeIBr2 PBE optimized geometry" e_form_raw_mev_per_atom=-584.1 dos_ef_per_ev_atom=0.000 space_group="P2_1/m (11)" pbc="T T T"
Tl 0.592 1.406 3.668
Tl 3.090 4.219 7.825
Ge 0.435 1.406 9.665
Ge 3.246 4.219 1.827
I -0.133 4.219 1.719
I 3.814 1.406 9.773
Br 0.706 1.406 7.137
Br 0.615 4.219 9.884
Br 3.067 1.406 1.608
Br 2.976 4.219 4.355

# 7
16
Lattice="8.584 0.000 0.000 0.000 8.584 0.000 0.000 0.000 8.584" Properties=species:S:1:pos:R:3 comment="BiW PBE optimized geometry" e_form_kj_per_mol_atoms=101 space_group="I-43m (217)" pbc="T T T"
Bi 1.718 1.718 6.866
Bi 1.718 6.866 1.718
Bi 2.574 2.574 2.574
Bi 2.574 6.010 6.010
Bi 6.010 2.574 6.010
Bi 6.010 6.010 2.574
Bi 6.866 1.718 1.718
Bi 6.866 6.866 6.866
W 0.903 0.903 0.903
W 0.903 7.681 7.681
W 3.389 3.389 5.195
W 3.389 5.195 3.389
W 5.195 3.389 3.389
W 5.195 5.195 5.195
W 7.681 0.903 7.681
W 7.681 7.681 0.903

# 8
12
Lattice="7.774 0.000 0.000 0.000 7.774 0.000 0.000 0.000 7.774" Properties=species:S:1:pos:R:3 comment="AcTbSm PBE optimized geometry" e_form_kj_per_mol_atoms=59 dos_ef_per_ev_atom=1.253 space_group="P2_13 (198)" pbc="T T T"
Ac 1.087 2.799 4.974
Ac 2.799 4.974 1.087
Ac 4.974 1.087 2.799
Ac 6.686 6.686 6.686
Tb 0.279 7.495 3.608
Tb 3.608 0.279 7.495
Tb 4.166 4.166 4.166
Tb 7.495 3.608 0.279
Sm 1.322 1.322 1.322
Sm 2.565 6.452 5.209
Sm 5.209 2.565 6.452
Sm 6.452 5.209 2.565

# 9
16
Lattice="7.017 0.000 0.000 0.000 7.017 0.000 0.000 0.000 7.017" Properties=species:S:1:pos:R:3 comment="GdHoBeGa PBE optimized geometry" e_form_kj_per_mol_atoms=-22 dos_ef_per_ev_atom=0.954 space_group="F-43m (216)" pbc="T T T"
Gd 0.000 0.000 0.000
Gd 0.000 3.508 3.508
Gd 3.508 0.000 3.508
Gd 3.508 3.508 0.000
Ho 0.000 0.000 3.508
Ho 0.000 3.508 0.000
Ho 3.508 0.000 0.000
Ho 3.508 3.508 3.508
Be 1.754 1.754 1.754
Be 1.754 5.263 5.263
Be 5.263 1.754 5.263
Be 5.263 5.263 1.754
Ga 1.754 1.754 5.263
Ga 1.754 5.263 1.754
Ga 5.263 1.754 1.754
Ga 5.263 5.263 5.263

# 10
12
Lattice="2.713 1.566 8.874 -2.713 1.566 8.874 0.000 -3.133 8.874" Properties=species:S:1:pos:R:3 comment="CaPu2Pt9 PBE optimized geometry" e_form_kj_per_mol_atoms=-69 dos_ef_per_ev_atom=2.331 space_group="R-3m (166)" pbc="T T T"
Ca 0.000 0.000 0.000
Pu 0.000 0.000 3.771
Pu 0.000 0.000 22.850
Pt -1.372 -0.792 11.130
Pt 0.000 0.000 8.851
Pt 0.000 -1.584 15.491
Pt -1.372 0.792 15.491
Pt 0.000 0.000 13.311
Pt 1.372 -0.792 11.130
Pt 0.000 1.584 11.130
Pt 0.000 0.000 17.770
Pt 1.372 0.792 15.491

# 11
80
Lattice="-8.870 8.870 8.870 8.870 -8.870 8.870 8.870 8.870 -8.870" Properties=species:S:1:pos:R:3 comment="Nd3Mg5Sn12 PBE optimized geometry" e_form_kj_per_mol_atoms=6 dos_ef_per_ev_atom=0.636 space_group="Ia-3d (230)" pbc="T T T"
Nd 4.435 2.217 0.000
Nd 8.870 4.435 -2.217
Nd 2.217 0.000 4.435
Nd 11.087 0.000 4.435
Nd 0.000 4.435 2.217
Nd 4.435 -2.217 8.870
Nd 4.435 11.087 0.000
Nd 8.870 4.435 6.652
Nd -2.217 8.870 4.435
Nd 6.652 8.870 4.435
Nd 0.000 4.435 11.087
Nd 4.435 6.652 8.870
Mg 0.000 0.000 0.000
Mg 4.435 4.435 -4.435
Mg 4.435 -4.435 4.435
Mg 8.870 0.000 0.000
Mg 13.304 2.217 0.000
Mg 8.870 -4.435 6.652
Mg 6.652 8.870 -4.435
Mg 6.652 0.000 4.435
Mg 4.435 6.652 0.000
Mg 8.870 4.435 2.217
Mg -4.435 4.435 4.435
Mg 0.000 8.870 0.000
Mg 0.000 0.000 8.870
Mg 4.435 4.435 4.435
Mg 0.000 4.435 6.652
Mg 4.435 2.217 8.870
Mg 2.217 8.870 4.435
Mg 2.217 0.000 13.304
Mg 0.000 13.304 2.217
Mg -4.435 6.652 8.870
Sn 2.634 -0.123 1.308
Sn 10.670 5.743 -4.557
Sn 8.747 -1.308 2.634
Sn 13.427 -1.801 3.127
Sn 11.503 0.123 1.308
Sn 10.670 -3.127 4.557
Sn 1.308 2.634 -0.123
Sn 11.996 4.312 -1.801
Sn 5.743 4.557 -1.801
Sn 7.562 2.634 0.123
Sn -0.123 1.308 2.634
Sn 4.557 -1.801 5.743
Sn 8.747 7.562 -2.634
Sn 4.557 1.801 3.127
Sn 7.562 -2.634 8.747
Sn 5.743 -4.557 10.670
Sn 3.127 4.557 1.801
Sn 10.177 6.236 0.123
Sn 2.634 8.747 -1.308
Sn 10.670 3.127 4.312
Sn 4.557 10.670 -3.127
Sn 8.747 1.308 6.236
Sn 1.801 3.127 4.557
Sn 2.634 0.123 7.562
Sn 6.236 8.747 1.308
Sn 7.069 5.743 4.312
Sn 0.123 7.562 2.634
Sn 4.312 -1.801 11.996
Sn -1.801 5.743 4.557
Sn 6.236 0.123 10.177
Sn -1.308 2.634 8.747
Sn 5.743 4.312 7.069
Sn 3.127 13.427 -1.801
Sn 1.308 11.503 0.123
Sn 4.312 7.069 5.743
Sn 0.123 1.308 11.503
Sn 4.312 10.670 3.127
Sn 8.992 7.562 6.236
Sn 1.308 6.236 8.747
Sn 3.127 4.312 10.670
Sn -3.127 4.557 10.670
Sn 7.562 6.236 8.992
Sn -1.801 11.996 4.312
Sn -2.634 8.747 7.562
Sn -4.557 10.670 5.743
Sn 0.123 10.177 6.236
Sn -1.801 3.127 13.427
Sn 6.236 8.992 7.562

# 12
16
Lattice="3.776 0.000 0.000 0.000 5.942 0.000 0.000 0.000 24.900" Properties=species:S:1:pos:R:3 comment="AcNd4Er3 PBE optimized geometry" e_form_kj_per_mol_atoms=9 dos_ef_per_ev_atom=1.743 space_group="Immm (71)" pbc="T T T"
Ac 0.000 0.000 0.000
Ac 1.888 2.971 12.450
Nd 0.000 2.971 2.840
Nd 0.000 2.971 8.918
Nd 0.000 2.971 15.982
Nd 0.000 2.971 22.059
Nd 1.888 0.000 3.532
Nd 1.888 0.000 9.610
Nd 1.888 0.000 15.290
Nd 1.888 0.000 21.368
Er 0.000 0.000 6.617
Er 0.000 0.000 12.450
Er 0.000 0.000 18.283
Er 1.888 2.971 0.000
Er 1.888 2.971 5.833
Er 1.888 2.971 19.066

# 13
28
Lattice="5.768 0.000 0.000 0.000 8.271 0.000 0.000 0.000 13.706" Properties=species:S:1:pos:R:3 comment="Nd3Ga2Pd2 PBE optimized geometry" e_form_kj_per_mol_atoms=-72 dos_ef_per_ev_atom=0.903 space_group="Pbcm (57)" pbc="T T T"
Nd 0.816 0.870 1.391
Nd 0.816 0.870 5.462
Nd 0.816 3.266 8.244
Nd 0.816 3.266 12.315
Nd 2.068 6.174 3.426
Nd 2.068 6.233 10.279
Nd 3.701 2.038 3.426
Nd 3.701 2.097 10.279
Nd 4.952 5.006 1.391
Nd 4.952 5.006 5.462
Nd 4.952 7.402 8.244
Nd 4.952 7.402 12.315
Ga 0.818 0.904 10.279
Ga 0.818 3.231 3.426
Ga 1.951 6.204 0.000
Ga 1.951 6.204 6.853
Ga 3.818 2.068 0.000
Ga 3.818 2.068 6.853
Ga 4.950 5.040 10.279
Ga 4.950 7.367 3.426
Pd 2.175 0.311 8.115
Pd 2.175 0.311 12.443
Pd 2.175 3.825 1.262
Pd 2.175 3.825 5.590
Pd 3.593 4.447 8.115
Pd 3.593 4.447 12.443
Pd 3.593 7.960 1.262
Pd 3.593 7.960 5.590

# 14
14
Lattice="-2.399 6.205 6.949 2.399 -6.205 6.949 2.399 6.205 -6.949" Properties=species:S:1:pos:R:3 comment="K3Ag2Sn9 PBE optimized geometry" e_form_kj_per_mol_atoms=-12 dos_ef_per_ev_atom=0.286 space_group="Immm (71)" pbc="T T T"
K 0.000 0.000 0.000
K 0.000 0.000 3.766
K 0.000 0.000 10.133
Ag 2.399 4.568 0.000
Ag 0.000 1.637 6.949
Sn 2.399 2.020 -1.641
Sn 2.399 -2.460 4.832
Sn 2.399 2.020 1.641
Sn 0.000 3.745 2.117
Sn 0.000 6.205 0.000
Sn 2.399 2.460 4.832
Sn 0.000 4.184 5.308
Sn 0.000 8.664 2.117
Sn 0.000 4.184 8.591

# 15
8
Lattice="3.226 0.000 0.000 0.000 4.581 0.000 0.000 0.000 9.170" Properties=species:S:1:pos:R:3 comment="Hf3NbOs4 PBE optimized geometry" e_form_kj_per_mol_atoms=-53 dos_ef_per_ev_atom=0.305 space_group="Pmmm (47)" pbc="T T T"
Hf 0.000 0.000 0.000
Hf 0.000 2.290 2.312
Hf 0.000 2.290 6.858
Nb 0.000 0.000 4.585
Os 1.613 0.000 2.314
Os 1.613 0.000 6.856
Os 1.613 2.290 0.000
Os 1.613 2.290 4.585

# 16
5
Lattice="5.201 0.000 0.000 0.000 5.201 0.000 0.000 0.000 4.413" Properties=species:S:1:pos:R:3 comment="RbSnS2N PBE optimized geometry" e_form_raw_mev_per_atom=213.1 dos_ef_per_ev_atom=0.475 space_group="P4/mmm (123)" pbc="T T T"
Rb 0.000 0.000 0.000
Sn 2.600 2.600 2.207
S 0.000 2.600 2.207
S 2.600 0.000 2.207
N 2.600 2.600 0.000

# 17
6
Lattice="0.000 4.778 4.778 4.778 0.000 4.778 4.778 4.778 0.000" Properties=species:S:1:pos:R:3 comment="CaPm4Ho PBE optimized geometry" e_form_kj_per_mol_atoms=21 dos_ef_per_ev_atom=1.557 space_group="F-43m (216)" pbc="T T T"
Ca 0.000 0.000 0.000
Pm 3.600 3.600 3.600
Pm 5.955 5.955 3.600
Pm 5.955 3.600 5.955
Pm 3.600 5.955 5.955
Ho 7.166 7.166 7.166

# 18
16
Lattice="7.000 0.000 0.000 0.000 7.000 0.000 0.000 0.000 7.000" Properties=species:S:1:pos:R:3 comment="Li2NbI PBE optimized geometry" e_form_raw_mev_per_atom=698.6 dos_ef_per_ev_atom=0.802 space_group="Fm-3m (225)" pbc="T T T"
Li 1.750 1.750 1.750
Li 1.750 1.750 5.250
Li 1.750 5.250 1.750
Li 1.750 5.250 5.250
Li 5.250 1.750 1.750
Li 5.250 1.750 5.250
Li 5.250 5.250 1.750
Li 5.250 5.250 5.250
Nb 0.000 0.000 0.000
Nb 0.000 3.500 3.500
Nb 3.500 0.000 3.500
Nb 3.500 3.500 0.000
I 0.000 0.000 3.500
I 0.000 3.500 0.000
I 3.500 0.000 0.000
I 3.500 3.500 3.500

In order of appearance, V = 332; 273; 774; 885; 310; 399; 633; 470; 345; 226; 2791; 559; 654; 414; 135; 119; 218; 343 Å³ per cell.